A relaxed NdNpSi crystal. Source: OQMD, functional PBE-GGA.

abc: 4.924 4.924 4.924
angles: 60.00 60.00 60.00
Fractional positions:
Nd: 0.000 0.000 0.000
Np: 0.500 0.500 0.500
Si: 0.250 0.250 0.250

V = 28.146 A^3/atom
ρ = 8.050 Mg/m³
Excess energy over the best structure of this formula in the dataset = 0.000 eV per atom
Magnetization = 5.59 μB per cell